# K2AgAu | the Alexandria database | GGA-PBE | optimized geometry
# Symmetry: Fm-3m
# Energy of formation from the pure elements in eV/atom: -0.095
data_K2AgAu
_chemical_formula_sum 'K2 Ag1 Au1'
_symmetry_space_group_name_H-M 'P 1'
_symmetry_Int_Tables_number 1
_cell_length_a 5.6974
_cell_length_b 5.6974
_cell_length_c 5.6974
_cell_angle_alpha 60.00
_cell_angle_beta 60.00
_cell_angle_gamma 60.00
loop_
_symmetry_equiv_pos_as_xyz
'x,y,z'
loop_
_atom_site_label
_atom_site_fract_x
_atom_site_fract_y
_atom_site_fract_z
_atom_site_occupancy
K1 0.7500 0.7500 0.7500 1
K2 0.2500 0.2500 0.2500 1
Au1 0.5000 0.5000 0.5000 1
Ag1 0.0000 0.0000 0.0000 1

# KAg2Au2 | the Alexandria database | GGA-PBE | optimized geometry
# Symmetry: I4/mmm
# Energy of formation from the pure elements in eV/atom: -0.082
data_KAg2Au2
_chemical_formula_sum 'K1 Ag2 Au2'
_symmetry_space_group_name_H-M 'P 1'
_symmetry_Int_Tables_number 1
_cell_length_a 4.2808
_cell_length_b 4.2808
_cell_length_c 7.1580
_cell_angle_alpha 72.60
_cell_angle_beta 72.60
_cell_angle_gamma 90.00
loop_
_symmetry_equiv_pos_as_xyz
'x,y,z'
loop_
_atom_site_label
_atom_site_fract_x
_atom_site_fract_y
_atom_site_fract_z
_atom_site_occupancy
Au1 0.6048 0.6048 0.7903 1
Ag1 0.7500 0.2500 0.5000 1
K1 0.0000 0.0000 0.0000 1
Au2 0.3952 0.3952 0.2097 1
Ag2 0.2500 0.7500 0.5000 1

# K5AgAu2 | the Alexandria database | GGA-PBE | optimized geometry
# Symmetry: I4/mcm
# Energy of formation from the pure elements in eV/atom: -0.174
data_K5AgAu2
_chemical_formula_sum 'K10 Ag2 Au4'
_symmetry_space_group_name_H-M 'P 1'
_symmetry_Int_Tables_number 1
_cell_length_a 8.7510
_cell_length_b 8.7510
_cell_length_c 10.2187
_cell_angle_alpha 115.35
_cell_angle_beta 115.35
_cell_angle_gamma 90.00
loop_
_symmetry_equiv_pos_as_xyz
'x,y,z'
loop_
_atom_site_label
_atom_site_fract_x
_atom_site_fract_y
_atom_site_fract_z
_atom_site_occupancy
K1 0.5306 0.6879 0.7185 1
Au1 0.6166 0.1166 0.0000 1
K2 0.5000 0.5000 0.0000 1
Au2 0.8834 0.6166 0.0000 1
Ag1 0.2500 0.2500 0.5000 1
Ag2 0.7500 0.7500 0.5000 1
K3 0.1879 0.0306 0.7185 1
K4 0.0000 0.0000 0.0000 1
K5 0.4694 0.3121 0.2815 1
K6 0.6879 0.1879 0.7185 1
K7 0.8121 0.9694 0.2815 1
K8 0.0306 0.5306 0.7185 1
K9 0.9694 0.4694 0.2815 1
Au3 0.1166 0.3834 0.0000 1
K10 0.3121 0.8121 0.2815 1
Au4 0.3834 0.8834 0.0000 1

# K3Ag3Au2 | the Alexandria database | GGA-PBE | optimized geometry
# Symmetry: Pnma
# Energy of formation from the pure elements in eV/atom: -0.085
data_K3Ag3Au2
_chemical_formula_sum 'K12 Ag12 Au8'
_symmetry_space_group_name_H-M 'P 1'
_symmetry_Int_Tables_number 1
_cell_length_a 6.4636
_cell_length_b 8.7815
_cell_length_c 16.8836
_cell_angle_alpha 90.00
_cell_angle_beta 90.00
_cell_angle_gamma 90.00
loop_
_symmetry_equiv_pos_as_xyz
'x,y,z'
loop_
_atom_site_label
_atom_site_fract_x
_atom_site_fract_y
_atom_site_fract_z
_atom_site_occupancy
K1 0.5981 0.3507 0.2500 1
K2 0.9019 0.8507 0.2500 1
Ag1 0.0903 0.1355 0.5402 1
K3 0.0981 0.1493 0.7500 1
K4 0.4019 0.6493 0.7500 1
Ag2 0.4097 0.6355 0.5402 1
Au1 0.6264 0.6598 0.1035 1
Au2 0.8736 0.1598 0.1035 1
K5 0.6116 0.0033 0.6046 1
K6 0.8884 0.5033 0.8954 1
Ag3 0.9097 0.8645 0.4598 1
K7 0.8884 0.5033 0.6046 1
Au3 0.6264 0.6598 0.3965 1
K8 0.3884 0.9967 0.1046 1
Au4 0.1264 0.8402 0.6035 1
Ag4 0.5903 0.3645 0.4598 1
Ag5 0.5718 0.2999 0.7500 1
Ag6 0.9282 0.7999 0.7500 1
Ag7 0.0718 0.2001 0.2500 1
Ag8 0.4282 0.7001 0.2500 1
Au5 0.1264 0.8402 0.8965 1
Au6 0.3736 0.3402 0.8965 1
K9 0.1116 0.4967 0.3954 1
Au7 0.8736 0.1598 0.3965 1
K10 0.3884 0.9967 0.3954 1
Ag9 0.9097 0.8645 0.0402 1
K11 0.6116 0.0033 0.8954 1
Ag10 0.5903 0.3645 0.0402 1
Ag11 0.0903 0.1355 0.9598 1
K12 0.1116 0.4967 0.1046 1
Au8 0.3736 0.3402 0.6035 1
Ag12 0.4097 0.6355 0.9598 1

# K2AgAu | the Alexandria database | GGA-PBE | optimized geometry
# Symmetry: P4mm
# Energy of formation from the pure elements in eV/atom: -0.016
data_K2AgAu
_chemical_formula_sum 'K2 Ag1 Au1'
_symmetry_space_group_name_H-M 'P 1'
_symmetry_Int_Tables_number 1
_cell_length_a 3.8639
_cell_length_b 3.8639
_cell_length_c 9.6061
_cell_angle_alpha 90.00
_cell_angle_beta 90.00
_cell_angle_gamma 90.02
loop_
_symmetry_equiv_pos_as_xyz
'x,y,z'
loop_
_atom_site_label
_atom_site_fract_x
_atom_site_fract_y
_atom_site_fract_z
_atom_site_occupancy
Au1 0.5000 0.5000 0.6670 1
K1 0.5000 0.5000 0.3328 1
Ag1 0.0000 0.0000 0.5871 1
K2 0.0000 0.0000 0.9131 1

# K2AgAu | the Alexandria database | GGA-PBE | optimized geometry
# Symmetry: P2_1/m
# Energy of formation from the pure elements in eV/atom: -0.144
data_K2AgAu
_chemical_formula_sum 'K4 Ag2 Au2'
_symmetry_space_group_name_H-M 'P 1'
_symmetry_Int_Tables_number 1
_cell_length_a 4.8439
_cell_length_b 6.5214
_cell_length_c 9.4327
_cell_angle_alpha 111.26
_cell_angle_beta 90.00
_cell_angle_gamma 90.00
loop_
_symmetry_equiv_pos_as_xyz
'x,y,z'
loop_
_atom_site_label
_atom_site_fract_x
_atom_site_fract_y
_atom_site_fract_z
_atom_site_occupancy
K1 0.7500 0.2083 0.9298 1
Au1 0.2500 0.3717 0.2171 1
K2 0.2500 0.7917 0.0702 1
Au2 0.7500 0.6283 0.7829 1
Ag1 0.2500 0.3745 0.7213 1
Ag2 0.7500 0.6255 0.2787 1
K3 0.7500 0.2171 0.4267 1
K4 0.2500 0.7829 0.5733 1

# K12AgAu6 | the Alexandria database | GGA-PBE | optimized geometry
# Symmetry: Im-3
# Energy of formation from the pure elements in eV/atom: -0.177
data_K12AgAu6
_chemical_formula_sum 'K12 Ag1 Au6'
_symmetry_space_group_name_H-M 'P 1'
_symmetry_Int_Tables_number 1
_cell_length_a 10.0906
_cell_length_b 10.0906
_cell_length_c 10.0906
_cell_angle_alpha 109.47
_cell_angle_beta 109.47
_cell_angle_gamma 109.47
loop_
_symmetry_equiv_pos_as_xyz
'x,y,z'
loop_
_atom_site_label
_atom_site_fract_x
_atom_site_fract_y
_atom_site_fract_z
_atom_site_occupancy
K1 0.4809 0.1777 0.3032 1
K2 0.8223 0.3032 0.1255 1
K3 0.3032 0.1255 0.8223 1
K4 0.6968 0.8745 0.1777 1
K5 0.6968 0.5191 0.8223 1
Au1 0.8767 0.3767 0.5000 1
K6 0.8223 0.6968 0.5191 1
Ag1 0.0000 0.0000 0.0000 1
K7 0.1777 0.6968 0.8745 1
K8 0.1255 0.8223 0.3032 1
K9 0.8745 0.1777 0.6968 1
K10 0.3032 0.4809 0.1777 1
Au2 0.6233 0.5000 0.1233 1
K11 0.1777 0.3032 0.4809 1
Au3 0.1233 0.6233 0.5000 1
Au4 0.5000 0.8767 0.3767 1
K12 0.5191 0.8223 0.6968 1
Au5 0.5000 0.1233 0.6233 1
Au6 0.3767 0.5000 0.8767 1

# K2AgAu | the Alexandria database | GGA-PBE | optimized geometry
# Symmetry: I-42d
# Energy of formation from the pure elements in eV/atom: 0.025
data_K2AgAu
_chemical_formula_sum 'K4 Ag2 Au2'
_symmetry_space_group_name_H-M 'P 1'
_symmetry_Int_Tables_number 1
_cell_length_a 8.8372
_cell_length_b 8.8372
_cell_length_c 7.5181
_cell_angle_alpha 54.00
_cell_angle_beta 54.00
_cell_angle_gamma 90.00
loop_
_symmetry_equiv_pos_as_xyz
'x,y,z'
loop_
_atom_site_label
_atom_site_fract_x
_atom_site_fract_y
_atom_site_fract_z
_atom_site_occupancy
Au1 0.0000 0.0000 0.0000 1
Au2 0.7500 0.2500 0.5000 1
Ag1 0.5000 0.5000 0.0000 1
K1 0.1141 0.6250 0.2500 1
K2 0.6359 0.1250 0.2500 1
K3 0.8750 0.8859 0.7500 1
K4 0.3750 0.3641 0.7500 1
Ag2 0.2500 0.7500 0.5000 1

# K2AgAu | the Alexandria database | GGA-PBE | optimized geometry
# Symmetry: R3m
# Energy of formation from the pure elements in eV/atom: -0.048
data_K2AgAu
_chemical_formula_sum 'K2 Ag1 Au1'
_symmetry_space_group_name_H-M 'P 1'
_symmetry_Int_Tables_number 1
_cell_length_a 4.7626
_cell_length_b 4.7626
_cell_length_c 8.6792
_cell_angle_alpha 74.08
_cell_angle_beta 74.08
_cell_angle_gamma 60.00
loop_
_symmetry_equiv_pos_as_xyz
'x,y,z'
loop_
_atom_site_label
_atom_site_fract_x
_atom_site_fract_y
_atom_site_fract_z
_atom_site_occupancy
Au1 0.6651 0.6651 0.0046 1
Ag1 0.5014 0.5014 0.4958 1
K1 0.0792 0.0792 0.7624 1
K2 0.2543 0.2543 0.2372 1

# KAg8Au4 | the Alexandria database | GGA-PBE | optimized geometry
# Symmetry: I4/mmm
# Energy of formation from the pure elements in eV/atom: -0.051
data_KAg8Au4
_chemical_formula_sum 'K1 Ag8 Au4'
_symmetry_space_group_name_H-M 'P 1'
_symmetry_Int_Tables_number 1
_cell_length_a 5.5190
_cell_length_b 7.4344
_cell_length_c 7.4344
_cell_angle_alpha 82.08
_cell_angle_beta 68.21
_cell_angle_gamma 68.21
loop_
_symmetry_equiv_pos_as_xyz
'x,y,z'
loop_
_atom_site_label
_atom_site_fract_x
_atom_site_fract_y
_atom_site_fract_z
_atom_site_occupancy
Au1 0.5000 0.5000 0.0000 1
Ag1 0.2735 0.2265 0.2265 1
K1 0.0000 0.0000 0.0000 1
Au2 0.5000 0.0000 0.5000 1
Ag2 0.5000 0.7735 0.2265 1
Ag3 0.6450 0.3550 0.3550 1
Ag4 0.5000 0.2265 0.7735 1
Ag5 0.7265 0.7735 0.7735 1
Au3 0.0000 0.0000 0.5000 1
Au4 0.0000 0.5000 0.0000 1
Ag6 0.3550 0.6450 0.6450 1
Ag7 0.0000 0.6450 0.3550 1
Ag8 0.0000 0.3550 0.6450 1

What did the ninth record say?
# K2AgAu | the Alexandria database | GGA-PBE | optimized geometry
# Symmetry: R3m
# Energy of formation from the pure elements in eV/atom: -0.048
data_K2AgAu
_chemical_formula_sum 'K2 Ag1 Au1'
_symmetry_space_group_name_H-M 'P 1'
_symmetry_Int_Tables_number 1
_cell_length_a 4.7626
_cell_length_b 4.7626
_cell_length_c 8.6792
_cell_angle_alpha 74.08
_cell_angle_beta 74.08
_cell_angle_gamma 60.00
loop_
_symmetry_equiv_pos_as_xyz
'x,y,z'
loop_
_atom_site_label
_atom_site_fract_x
_atom_site_fract_y
_atom_site_fract_z
_atom_site_occupancy
Au1 0.6651 0.6651 0.0046 1
Ag1 0.5014 0.5014 0.4958 1
K1 0.0792 0.0792 0.7624 1
K2 0.2543 0.2543 0.2372 1